## Ba2Be2MoO6 (GGA+U)

Data for Ba2Be2MoO6 after structural relaxation.

Energy, Ry/atom: -0.4997
N(E_F), states/eV per cell: 10.43

a b c (Å): 5.5711 5.5711 16.5568
angles (deg): 90.00 90.00 120.00
Space group R-3m (No. 166, hexagonal axes)
One atom of each set of equivalent atoms:
Ba 0.0000 0.0000 0.2235 [6 per cell]
Be 0.0000 0.0000 0.4111 [6 per cell]
Mo 0.0000 0.0000 0.0000 [3 per cell]
O 0.0127 0.5063 0.2578 [18 per cell]